This record from Alexandria via LeMat-Bulk describes Ce2DyTe4 after structural relaxation. The functional is GGA-PBE.

Lattice parameters (Å, degrees): 8.851 8.819 8.819 60.60 59.88 59.88
Site moments in Bohr magnetons follow the coordinates.
Element x y z (fractional)
Dy1 0.000 0.500 0.000  0.04
Te1 0.260 0.247 0.233  -0.02
Te2 0.740 0.753 0.767  -0.02
Te3 0.259 0.746 0.246  -0.02
Ce1 0.500 0.000 0.500  1.01
Ce2 0.000 0.500 0.500  0.93
Ce3 0.000 0.000 0.500  1.01
Te4 0.748 0.746 0.246  -0.02
Dy2 0.500 0.500 0.000  0.04
Te5 0.740 0.267 0.253  -0.02
Ce4 0.000 0.000 0.000  0.93
Te6 0.260 0.733 0.747  -0.02
Te7 0.741 0.254 0.754  -0.02
Te8 0.252 0.254 0.754  -0.02

Properties
Energy above the lowest structure with this stoichiometry = 0 meV per atom
Raw formation energy = -1.360 eV/atom
Raw total energy = -38.555 eV per formula unit
DOS(E_F) = 30.90 states/eV per cell

=====

This record from Alexandria via LeMat-Bulk describes Fe4Ni5Pt4 after structural relaxation. The functional is GGA-PBE.

Lattice parameters (Å, degrees): 3.715 6.978 6.978 85.94 74.56 74.56
Site moments in Bohr magnetons follow the coordinates.
Element x y z (fractional)
Ni1 0.458 0.223 0.861  0.72
Pt1 0.912 0.461 0.716  0.33
Pt2 0.372 0.716 0.539  0.33
Fe1 0.778 0.364 0.080  2.98
Fe2 0.222 0.636 0.920  2.98
Pt3 0.088 0.539 0.284  0.33
Ni2 0.319 0.139 0.223  0.72
Pt4 0.628 0.284 0.461  0.33
Fe3 0.858 0.920 0.364  2.98
Ni3 0.000 0.000 0.000  0.76
Ni4 0.542 0.777 0.139  0.72
Ni5 0.681 0.861 0.777  0.72
Fe4 0.142 0.080 0.636  2.98

Properties
Energy of formation from the pure elements = -141 meV per atom
Raw total energy = -88.749 eV per formula unit
DOS(E_F) = 10.46 states/eV per cell

=====

This record from Alexandria via LeMat-Bulk describes Cu2IrPd after structural relaxation. The functional is GGA-PBE.

Lattice parameters (Å, degrees): 6.768 6.768 5.453 51.65 51.65 90.00
Site moments in Bohr magnetons follow the coordinates.
Element x y z (fractional)
Cu1 0.120 0.625 0.250  0.06
Cu2 0.875 0.880 0.750  0.07
Cu3 0.630 0.125 0.250  0.06
Pd1 0.250 0.750 0.500  0.11
Pd2 0.500 0.500 0.000  0.11
Ir1 0.000 0.000 0.000  0.43
Ir2 0.750 0.250 0.500  0.43
Cu4 0.375 0.370 0.750  0.06

Properties
Energy of formation from the pure elements = 568 meV per atom
Energy above the lowest structure with this stoichiometry = 541 meV per atom
Raw total energy = -19.976 eV per formula unit
DOS(E_F) = 11.79 states/eV per cell